# 1
The following is a PBEsol calculation of a relaxed CaLa2Cu crystal, from Alexandria.

Unit cell a=3.5027 b=5.3983 c=6.8491 alpha=113.21 beta=104.82 gamma=90.00
Fractional positions:
Ca 0.5000 0.0000 0.0000
La 0.6998 0.6998 0.3995
La 0.3002 0.3002 0.6005
Cu 0.0000 0.5000 0.0000

* SG: No. 71
* relative energy among the computed polymorphs: 2.7 kJ per mole of atoms

***

# 2
The following is a PBEsol calculation of a relaxed La3Tl crystal, from Alexandria.

Unit cell a=3.7124 b=3.7124 c=9.2080 alpha=90.00 beta=90.00 gamma=90.00
Fractional positions:
La 0.0000 0.0000 0.2309
La 0.0000 0.0000 0.7691
La 0.5000 0.5000 0.5000
Tl 0.5000 0.5000 0.0000

* SG: No. 123
* relative energy among the computed polymorphs: 6.7 kJ per mole of atoms

***

# 3
The following is a PBEsol calculation of a relaxed Rh3Se8 crystal, from Alexandria.

Unit cell a=5.9211 b=5.9289 c=11.8912 alpha=90.00 beta=90.64 gamma=90.00
Fractional positions:
Rh 0.0000 0.5000 0.0000
Rh 0.5000 0.0000 0.5000
Rh 0.0053 0.0150 0.2488
Rh 0.5053 0.4850 0.7488
Rh 0.9947 0.9850 0.7512
Rh 0.4947 0.5150 0.2512
Se 0.3847 0.3843 0.0610
Se 0.6177 0.1260 0.3092
Se 0.6226 0.1083 0.8147
Se 0.3761 0.3791 0.5565
Se 0.1239 0.8791 0.9435
Se 0.6153 0.6157 0.9390
Se 0.6239 0.6209 0.4435
Se 0.8847 0.1157 0.5610
Se 0.3774 0.8917 0.1853
Se 0.8774 0.6083 0.6853
Se 0.3823 0.8740 0.6908
Se 0.8761 0.1209 0.0565
Se 0.1177 0.3740 0.8092
Se 0.1226 0.3917 0.3147
Se 0.8823 0.6260 0.1908
Se 0.1153 0.8843 0.4390

* SG: No. 14
* relative energy among the computed polymorphs: 0.4 kJ per mole of atoms

***

# 4
The following is a PBEsol calculation of a relaxed Li3Cu4F9 crystal, from Alexandria.

Unit cell a=5.3163 b=4.9780 c=7.6612 alpha=90.83 beta=79.94 gamma=64.98
Each line ends with the local moment (μB).
Fractional positions:
F 0.5563 0.5233 0.4390  0.02
F 0.1083 0.2648 0.1039  0.05
F 0.7081 0.9633 0.0842  0.03
F 0.9202 0.8093 0.5068  0.04
F 0.4424 0.9827 0.7691  0.06
F 0.3450 0.6436 0.1136  0.04
F 0.2897 0.1554 0.4560  0.04
F 0.1332 0.6518 0.8002  0.04
F 0.7535 0.2978 0.7611  0.04
Cu 0.6066 0.7345 0.2453  0.33
Cu 0.0594 0.4962 0.3186  0.32
Cu 0.1989 0.9014 0.6219  0.48
Cu 0.4348 0.2953 0.9413  0.53
Li 0.0709 0.9330 0.0087  0.00
Li 0.5854 0.1953 0.5624  0.00
Li 0.8048 0.6436 0.7414  0.00

* VASP energy: -4.43 eV/atom
* SG: No. 1

***

# 5
The following is a PBEsol calculation of a relaxed CrNiW crystal, from Alexandria.

Unit cell a=2.6215 b=2.6215 c=6.4517 alpha=90.00 beta=90.00 gamma=120.00
Fractional positions:
Ni 0.3333 0.6667 0.6796
W 0.6667 0.3333 0.3396
Cr 0.0000 0.0000 0.9808

* SG: No. 156
* relative energy among the computed polymorphs: 20.3 kJ per mole of atoms

***

# 6
The following is a PBEsol calculation of a relaxed BaTcW crystal, from Alexandria.

Unit cell a=4.5239 b=4.5239 c=4.5239 alpha=60.00 beta=60.00 gamma=60.00
Fractional positions:
Tc 0.0000 0.0000 0.0000
W 0.5000 0.5000 0.5000
Ba 0.2500 0.2500 0.2500

* SG: No. 216
* relative energy among the computed polymorphs: 185.8 kJ per mole of atoms

***

# 7
The following is a PBEsol calculation of a relaxed Tc2MoOs crystal, from Alexandria.

Unit cell a=2.7274 b=3.8392 c=5.4873 alpha=90.00 beta=90.00 gamma=90.00
Fractional positions:
Tc 0.0000 0.0000 0.7424
Tc 0.0000 0.0000 0.2576
Mo 0.5000 0.5000 0.0000
Os 0.5000 0.5000 0.5000

* SG: No. 47
* relative energy among the computed polymorphs: 1.7 kJ per mole of atoms

***

# 8
The following is a PBEsol calculation of a relaxed ZrCBr2 crystal, from Alexandria.

Unit cell a=5.7491 b=5.7491 c=5.7491 alpha=104.46 beta=104.46 gamma=120.04
Fractional positions:
Zr 0.2500 0.7500 0.5000
Zr 0.0000 0.0000 0.0000
Br 0.1250 0.1634 0.5384
Br 0.8366 0.3750 0.9616
Br 0.4134 0.8750 0.0384
Br 0.6250 0.5866 0.4616
C 0.5000 0.5000 0.0000
C 0.7500 0.2500 0.5000

* VASP energy: -4.62 eV/atom
* SG: No. 122

***

# 9
The following is a PBEsol calculation of a relaxed LiHgRhSe2 crystal, from Alexandria.

Unit cell a=4.4541 b=5.1252 c=5.1252 alpha=90.00 beta=90.00 gamma=90.00
Each line ends with the local moment (μB).
Fractional positions:
Li 0.5000 0.0000 0.0000  0.00
Hg 0.0000 0.0000 0.0000  0.00
Rh 0.5000 0.5000 0.5000  0.85
Se 0.0000 0.0000 0.5000  0.03
Se 0.0000 0.5000 0.0000  0.03

* VASP energy: -2.82 eV/atom
* SG: No. 123

***

# 10
The following is a PBEsol calculation of a relaxed BaTe2IrN crystal, from Alexandria.

Unit cell a=3.7301 b=5.7488 c=5.7488 alpha=90.00 beta=90.00 gamma=90.00
Fractional positions:
N 0.5000 0.0000 0.0000
Ba 0.5000 0.5000 0.5000
Te 0.0000 0.5000 0.0000
Te 0.0000 0.0000 0.5000
Ir 0.0000 0.0000 0.0000

* SG: No. 123
* relative energy among the computed polymorphs: 0.0 kJ per mole of atoms

***

# 11
The following is a PBEsol calculation of a relaxed CrRuSe2 crystal, from Alexandria.

Unit cell a=4.2823 b=4.2823 c=4.2823 alpha=60.00 beta=60.00 gamma=60.00
Fractional positions:
Se 0.2500 0.2500 0.2500
Se 0.7500 0.7500 0.7500
Ru 0.5000 0.5000 0.5000
Cr 0.0000 0.0000 0.0000

* SG: No. 225
* relative energy among the computed polymorphs: 20.3 kJ per mole of atoms

***

# 12
The following is a PBEsol calculation of a relaxed Na2TiTl2 crystal, from Alexandria.

Unit cell a=5.3220 b=5.7844 c=5.3220 alpha=62.61 beta=90.00 gamma=117.39
Each line ends with the local moment (μB).
Fractional positions:
Ti 0.0000 0.0000 0.0000  1.54
Na 0.3634 0.7268 0.6366  0.00
Na 0.6366 0.2732 0.3634  0.00
Tl 0.7500 0.5000 0.7500  -0.01
Tl 0.2500 0.5000 0.2500  -0.01

* VASP energy: -2.71 eV/atom
* SG: No. 139